Run i
Compound: In2Cu2Hg
Source: Alexandria
Functional: PBE-GGA
Structure: relaxed

```
data_In2Cu2Hg
_chemical_formula_sum 'In4 Cu4 Hg2'
_space_group_name_H-M_alt 'P 4/m b m'
_space_group_IT_number 127
_space_group_name_Hall '-P 4 2ab'
_cell_length_a 8.3281
_cell_length_b 8.3281
_cell_length_c 2.8716
_cell_angle_alpha 90.00
_cell_angle_beta 90.00
_cell_angle_gamma 90.00
loop_
_atom_site_label
_atom_site_fract_x
_atom_site_fract_y
_atom_site_fract_z
In1 0.1474 0.3526 0.0000
Cu1 0.1498 0.6498 0.5000
Hg1 0.0000 0.0000 0.0000
```

Values from the calculation:
calculated volume = 19.92 A^3/atom

=====

Run ii
Compound: In2Cu2Hg
Source: Alexandria
Functional: PBE-GGA
Structure: relaxed

```
data_In2Cu2Hg
_chemical_formula_sum 'In4 Cu4 Hg2'
_space_group_name_H-M_alt 'I 4/m m m'
_space_group_IT_number 139
_space_group_name_Hall '-I 4 2'
_cell_length_a 3.4519
_cell_length_b 3.4519
_cell_length_c 17.4159
_cell_angle_alpha 90.00
_cell_angle_beta 90.00
_cell_angle_gamma 90.00
loop_
_atom_site_label
_atom_site_fract_x
_atom_site_fract_y
_atom_site_fract_z
In1 0.0000 0.0000 0.1222
Cu1 0.0000 0.5000 0.2500
Hg1 0.0000 0.0000 0.5000
```

Values from the calculation:
calculated volume = 20.75 A^3/atom

=====

Compare the structures above. Which one is the most stable? run ii is.